[1]
Entry from Alexandria via LeMat-Bulk: a relaxed structure of SmEr2ThSb4 (PBE).

```
SmEr2ThSb4
1.0
4.4311 0.0000 0.0000
0.0000 7.6359 -0.1433
0.0000 2.6949 7.1740
Sm Er Th Sb
1 2 1 4
Direct
0.5000 0.5000 0.0000
0.0000 0.0000 0.0000
0.5000 0.0000 0.5000
0.0000 0.5000 0.5000
0.0000 0.7586 0.7479
0.0000 0.2414 0.2521
0.5000 0.7601 0.2454
0.5000 0.2399 0.7546
```

Values from the calculation:
**Formation energy without anion corrections**: -1.0811 eV/atom
**Spin magnetization**: 0.000 μB/cell

***

[2]
Entry from Alexandria via LeMat-Bulk: a relaxed structure of RbNiPt (PBE).

```
RbNiPt
1.0
3.4257 0.0000 0.0000
0.0000 3.4257 0.0000
0.0000 0.0000 11.9455
Rb Ni Pt
2 2 2
Direct
0.0000 0.0000 0.0395
0.5000 0.5000 0.5395
0.0000 0.0000 0.7719
0.5000 0.5000 0.2719
0.0000 0.0000 0.3142
0.5000 0.5000 0.8142
```

Values from the calculation:
**Energy above the lowest structure with this stoichiometry**: 211.5 meV per atom
**Formation energy**: 0.2477 eV/atom
**Spin magnetization**: 1.003 μB/cell

***

[3]
Entry from Alexandria via LeMat-Bulk: a relaxed structure of HoScBr6 (PBE).

```
HoScBr6
1.0
6.6859 0.1811 0.8840
1.4832 5.7382 3.2281
0.0462 -0.2716 7.5165
Ho Sc Br
1 1 6
Direct
0.5000 0.5000 0.0000
0.0000 0.0000 0.0000
0.7607 0.3786 0.7204
0.7607 0.0990 0.2796
0.2393 0.9010 0.7204
0.2393 0.6214 0.2796
0.7553 0.7553 0.0000
0.2447 0.2447 0.0000
```

Values from the calculation:
**Energy above the lowest structure with this stoichiometry**: 0.0 meV per atom
**Formation energy without anion corrections**: -1.7417 eV/atom
**Spin magnetization**: 0.000 μB/cell

***

[4]
Entry from Alexandria via LeMat-Bulk: a relaxed structure of ZnMo2P (PBE).

```
ZnMo2P
1.0
0.5089 1.3855 -2.3285
-0.9993 -2.4741 -0.6933
-8.1530 3.2505 0.1522
Zn Mo P
1 2 1
Direct
0.5000 0.5000 0.2344
0.0000 0.0000 0.9933
0.5000 0.5000 0.7423
0.0000 0.0000 0.5299
```

Values from the calculation:
**Energy above the lowest structure with this stoichiometry**: 225.9 meV per atom
**Formation energy**: 0.1651 eV/atom
**Spin magnetization**: 0.000 μB/cell

***

[5]
Entry from Alexandria via LeMat-Bulk: a relaxed structure of HoUFe3 (PBE).

```
HoUFe3
1.0
5.3899 0.0000 0.0000
0.0000 5.1980 -2.7351
0.0000 -0.1589 6.0049
Ho U Fe
2 2 6
Direct
0.7500 0.5820 0.1639
0.2500 0.4180 0.8361
0.7500 0.2231 0.4462
0.2500 0.7769 0.5538
0.7500 0.6338 0.6888
0.7500 0.0550 0.6888
0.2500 0.9450 0.3112
0.2500 0.3662 0.3112
0.0000 0.0000 0.0000
0.5000 0.0000 0.0000
```

Values from the calculation:
**Energy above the lowest structure with this stoichiometry**: 41.3 meV per atom
**Formation energy**: -0.0617 eV/atom
**Spin magnetization**: 2.423 μB/cell

***

[6]
Entry from Alexandria via LeMat-Bulk: a relaxed structure of Pm2YCo (PBE).

```
Pm2YCo
1.0
-0.9660 2.7459 2.1946
-3.4672 1.1218 0.0980
-3.4715 -5.5430 8.4350
Y Co Pm
1 1 2
Direct
0.0000 0.0000 0.0000
0.5000 0.5000 0.5000
0.1124 0.1124 0.6627
0.8876 0.8876 0.3373
```

Values from the calculation:
**Energy above the lowest structure with this stoichiometry**: 315.2 meV per atom
**Formation energy**: 0.2147 eV/atom
**Spin magnetization**: 0.032 μB/cell

***

[7]
Entry from Alexandria via LeMat-Bulk: a relaxed structure of CaPmHo2As4 (PBE).

```
CaPmHo2As4
1.0
-0.4928 3.8119 -1.5900
-7.2035 -0.7777 0.3683
-2.3277 2.3689 6.4004
Ca Pm Ho As
1 1 2 4
Direct
0.0000 0.5000 0.5000
0.5000 0.5000 0.0000
0.0000 0.0000 0.0000
0.5000 0.0000 0.5000
0.0000 0.7596 0.7476
0.0000 0.2404 0.2524
0.5000 0.7615 0.2446
0.5000 0.2385 0.7554
```

Values from the calculation:
**Formation energy**: -1.3643 eV/atom
**Spin magnetization**: 0.000 μB/cell